1.
AgPd3Se6: optimized geometry, PBE.

SG: P2_1/m
Offset from the most stable computed form: 0.0 meV/atom

The structure in extended XYZ format:
```
20
Lattice="3.7780 0.0000 0.0000 0.0000 12.7861 -6.3013 0.0000 -3.3008 10.6595" Properties=species:S:1:pos:R:3 pbc="T T T"
Pd 2.8335 4.2453 5.5033
Pd 2.8335 -0.1689 1.6072
Pd 0.9445 9.6542 2.7510
Pd 2.8335 9.3739 -0.6437
Pd 0.9445 5.2399 -1.1451
Pd 0.9445 0.1114 5.0019
Se 2.8335 11.4939 -2.3309
Se 2.8335 8.3018 1.7813
Se 0.9445 8.5664 -3.8887
Se 2.8335 1.4188 -0.4099
Se 0.9445 7.9196 -1.5525
Se 2.8335 1.5657 5.9107
Se 2.8335 5.3701 0.5679
Se 2.8335 0.9189 8.2469
Se 0.9445 1.1834 2.5769
Se 0.9445 -2.0087 6.6891
Se 0.9445 4.1152 3.7903
Se 0.9445 8.0664 4.7681
Ag 0.9445 3.3207 0.9413
Ag 2.8335 6.1645 3.4170
```

2.
AgPd4Se: optimized geometry, PBE.

SG: P2_1/m
Offset from the most stable computed form: 0.0 meV/atom

The structure in extended XYZ format:
```
24
Lattice="-2.5122 -4.5950 2.4165 8.2262 -1.8751 4.9865 -2.6221 4.2146 5.2882" Properties=species:S:1:pos:R:3 pbc="T T T"
Se 1.5175 0.5354 6.0372
Se 1.5744 -2.7909 6.6540
Se 5.6307 -0.4021 8.5304
Se -2.5387 -1.8534 4.1608
Pd -0.5108 -0.6571 5.0970
Pd -1.7645 -2.9548 6.3073
Pd -0.7982 -1.8463 2.4458
Pd 3.8902 -0.4092 10.2454
Pd -0.2231 0.5282 7.7518
Pd 3.3150 -2.7836 4.9393
Pd 2.6692 -2.6424 11.4194
Pd -1.4438 -1.7048 8.9265
Pd 4.8564 0.6993 6.3838
Pd 4.5358 -0.5507 3.7646
Pd -1.5088 2.0232 5.7188
Pd 4.6007 -4.2787 6.9723
Pd 2.6039 1.0849 8.2125
Pd 0.4881 -3.3403 4.4787
Pd 0.4227 0.3869 1.2718
Pd 3.6028 -1.5984 7.5942
Ag 1.3408 -1.2177 9.4033
Ag 5.8641 -1.9758 5.7814
Ag 1.7512 -1.0378 3.2879
Ag -2.7721 -0.2797 6.9098
```

Results for density of states at the Fermi level: 7.0; 18.7 (in states/eV/cell, following the order of the records).
Results for energy relative to the elements, uncorrected: -0.205; -0.099 (in eV/atom, following the order of the records).